Here is crystalline TaRe2Tc at its relaxed geometry from the Alexandria database. Energies are from PBE-GGA.

Summary:
The volume comes out at 15.805 A^3/atom. The calculation puts the magnetization at 0.000 μB/f.u. As for the energy relative to the elements: 0.042 eV per atom.

Unit cell a=2.783 b=2.783 c=8.163 alpha=90.00 beta=90.00 gamma=90.00
Space group P4mm (No. 99)
One atom of each set of equivalent atoms:
Ta  0.000  0.000  0.000 [1 per cell]
Re  0.000  0.000  0.498 [1 per cell]
Re  0.500  0.500  0.730 [1 per cell]
Tc  0.500  0.500  0.270 [1 per cell]